# ZrGeF2 | Alexandria | GGA-PBE | optimized geometry
# Energy above the lowest structure with this stoichiometry ... 602 meV per atom
# ΔE_f (raw) ... -1242 meV per atom
# Theoretical density ... 5.913 g/cm3
# D(E_F) ... 2.91 states/eV/f.u.
data_ZrGeF2
_symmetry_space_group_name_H-M 'P 1'
_symmetry_Int_Tables_number 1
_symmetry_space_group_name_Hall 'P 1'
_cell_length_a 4.3119
_cell_length_b 4.3119
_cell_length_c 4.3119
_cell_angle_alpha 60.00
_cell_angle_beta 60.00
_cell_angle_gamma 60.00
loop_
_atom_site_label
_atom_site_type_symbol
_atom_site_fract_x
_atom_site_fract_y
_atom_site_fract_z
Zr1 Zr 0.0000 0.0000 0.0000
Ge1 Ge 0.5000 0.5000 0.5000
F1 F 0.2500 0.2500 0.2500
F2 F 0.7500 0.7500 0.7500